Entry from Alexandria via LeMat-Bulk: a crystal of LaYMg6 relaxed with PBEsol (meta-GGA SCAN).

Lattice parameters (Å, degrees): 8.991 8.991 8.991 33.52 33.52 33.52
Sites, in units of the cell vectors:
La  0.000  0.000  0.000
Y  0.500  0.500  0.500
Mg  0.127  0.127  0.127
Mg  0.249  0.249  0.249
Mg  0.377  0.377  0.377
Mg  0.623  0.623  0.623
Mg  0.751  0.751  0.751
Mg  0.873  0.873  0.873

## Properties
As for the energy of formation: -0.118 eV per atom. The value obtained for the energy above the most stable polymorph in this dataset is 0 meV per atom. The value obtained for the density of states at the Fermi level is 3.37 states/eV per cell. Its total magnetic moment is 0.2 Bohr magnetons per cell.

=====

Entry from Alexandria via LeMat-Bulk: a crystal of ZnFe3B relaxed with PBEsol (meta-GGA SCAN).

Lattice parameters (Å, degrees): 4.265 4.265 4.265 90.00 90.00 90.00
Sites, in units of the cell vectors:
Zn  0.000  0.000  0.000
Fe  0.000  0.000  0.500
Fe  0.000  0.500  0.000
Fe  0.500  0.000  0.000
B  0.500  0.500  0.500

## Properties
As for the energy of formation: 1.840 eV per atom. The value obtained for the density of states at the Fermi level is 2.41 states/eV per cell. Its total magnetic moment is 8.8 Bohr magnetons per cell.

=====

Entry from Alexandria via LeMat-Bulk: a crystal of Li4V3Ni2Sn3O16 relaxed with PBEsol (meta-GGA SCAN).

Lattice parameters (Å, degrees): 5.991 6.030 9.584 88.99 89.00 60.59
Sites, in units of the cell vectors:
Li  0.000  0.000  0.000
Li  0.038  0.942  0.491
Li  0.300  0.274  0.094
Li  0.657  0.635  0.594
V  0.159  0.142  0.774
V  0.358  0.715  0.246
V  0.878  0.279  0.298
Ni  0.327  0.313  0.508
Ni  0.657  0.635  0.001
Sn  0.160  0.635  0.782
Sn  0.653  0.139  0.777
Sn  0.808  0.806  0.276
O  0.017  0.968  0.185
O  0.028  0.448  0.655
O  0.136  0.178  0.400
O  0.167  0.639  0.382
O  0.315  0.829  0.887
O  0.317  0.295  0.894
O  0.461  0.011  0.652
O  0.474  0.457  0.648
O  0.487  0.921  0.156
O  0.491  0.465  0.138
O  0.636  0.614  0.378
O  0.686  0.137  0.390
O  0.833  0.818  0.906
O  0.844  0.299  0.883
O  0.940  0.473  0.155
O  0.999  0.976  0.673

## Properties
The value obtained for the density of states at the Fermi level is 4.43 states/eV per cell. The uncorrected formation energy is -2.059 eV per atom. Its total magnetic moment is 7.0 Bohr magnetons per cell.

=====

Entry from Alexandria via LeMat-Bulk: a crystal of CdFeMo2 relaxed with PBEsol (meta-GGA SCAN).

Lattice parameters (Å, degrees): 5.030 5.030 5.030 136.40 136.40 63.37
Sites, in units of the cell vectors:
Cd  0.000  0.000  0.000
Fe  0.500  0.500  0.000
Mo  0.250  0.750  0.500
Mo  0.750  0.250  0.500

## Properties
As for the energy of formation: 0.395 eV per atom. The value obtained for the density of states at the Fermi level is 2.53 states/eV per cell. Its total magnetic moment is 2.6 Bohr magnetons per cell.

=====

Entry from Alexandria via LeMat-Bulk: a crystal of LiCa2Ir relaxed with PBEsol (meta-GGA SCAN).

Lattice parameters (Å, degrees): 4.283 5.640 5.640 41.95 90.00 90.00
Sites, in units of the cell vectors:
Li  0.000  0.000  0.000
Ca  0.000  0.694  0.694
Ca  0.500  0.416  0.416
Ir  0.500  0.122  0.122

## Properties
As for the energy of formation: -0.207 eV per atom. The value obtained for the energy above the most stable polymorph in this dataset is 63 meV per atom. The value obtained for the density of states at the Fermi level is 0.98 states/eV per cell. Its total magnetic moment is 0.0 Bohr magnetons per cell.

=====

Entry from Alexandria via LeMat-Bulk: a crystal of Li2VF5 relaxed with PBEsol (meta-GGA SCAN).

Lattice parameters (Å, degrees): 8.915 6.190 5.919 90.00 90.00 90.00
Sites, in units of the cell vectors:
Li  0.173  0.026  0.037
Li  0.173  0.474  0.037
Li  0.327  0.526  0.537
Li  0.327  0.974  0.537
Li  0.673  0.026  0.463
Li  0.673  0.474  0.463
Li  0.827  0.526  0.963
Li  0.827  0.974  0.963
V  0.016  0.250  0.562
V  0.484  0.750  0.062
V  0.516  0.250  0.938
V  0.984  0.750  0.438
F  0.051  0.250  0.893
F  0.070  0.034  0.326
F  0.070  0.466  0.326
F  0.180  0.750  0.589
F  0.238  0.250  0.586
F  0.262  0.750  0.086
F  0.320  0.250  0.089
F  0.430  0.534  0.826
F  0.430  0.966  0.826
F  0.449  0.750  0.393
F  0.551  0.250  0.607
F  0.570  0.034  0.174
F  0.570  0.466  0.174
F  0.680  0.750  0.911
F  0.738  0.250  0.914
F  0.762  0.750  0.414
F  0.820  0.250  0.411
F  0.930  0.534  0.674
F  0.930  0.966  0.674
F  0.949  0.750  0.107

## Properties
The value obtained for the energy above the most stable polymorph in this dataset is 58 meV per atom. The value obtained for the density of states at the Fermi level is 0.00 states/eV per cell. The uncorrected formation energy is -3.152 eV per atom. Its total magnetic moment is 8.0 Bohr magnetons per cell.

=====

Entry from Alexandria via LeMat-Bulk: a crystal of TlTe2 relaxed with PBEsol (meta-GGA SCAN).

Lattice parameters (Å, degrees): 9.458 9.458 9.458 160.79 160.79 27.30
Sites, in units of the cell vectors:
Tl  0.000  0.000  0.000
Te  0.348  0.348  0.000
Te  0.652  0.652  0.000

## Properties
The value obtained for the energy above the most stable polymorph in this dataset is 92 meV per atom. The value obtained for the density of states at the Fermi level is 1.05 states/eV per cell. The uncorrected formation energy is -0.035 eV per atom. Its total magnetic moment is 0.0 Bohr magnetons per cell.

=====

Entry from Alexandria via LeMat-Bulk: a crystal of Ni2Pt relaxed with PBEsol (meta-GGA SCAN).

Lattice parameters (Å, degrees): 8.534 8.158 4.448 79.28 69.92 30.80
Sites, in units of the cell vectors:
Ni  0.000  0.000  0.000
Ni  0.078  0.078  0.422
Ni  0.156  0.156  0.844
Ni  0.332  0.332  0.668
Ni  0.416  0.416  0.084
Ni  0.578  0.578  0.922
Ni  0.658  0.658  0.342
Ni  0.916  0.916  0.584
Pt  0.242  0.242  0.258
Pt  0.497  0.497  0.503
Pt  0.742  0.742  0.758
Pt  0.837  0.837  0.163

## Properties
As for the energy of formation: -0.105 eV per atom. The value obtained for the density of states at the Fermi level is 9.79 states/eV per cell. Its total magnetic moment is 8.1 Bohr magnetons per cell.

=====

Entry from Alexandria via LeMat-Bulk: a crystal of TcNi2HI relaxed with PBEsol (meta-GGA SCAN).

Lattice parameters (Å, degrees): 4.685 4.685 3.392 90.00 90.00 90.00
Sites, in units of the cell vectors:
Tc  0.000  0.000  0.000
Ni  0.000  0.500  0.500
Ni  0.500  0.000  0.500
H  0.500  0.500  0.000
I  0.500  0.500  0.500

## Properties
The value obtained for the total DFT energy (no corrections) is -100.7 eV per cell. The value obtained for the density of states at the Fermi level is 2.81 states/eV per cell. Its total magnetic moment is 3.8 Bohr magnetons per cell.

=====

Entry from Alexandria via LeMat-Bulk: a crystal of Rb2Mg2Mo3O12 relaxed with PBEsol (meta-GGA SCAN).

Lattice parameters (Å, degrees): 10.800 10.800 10.800 90.00 90.00 90.00
Sites, in units of the cell vectors:
Rb  0.051  0.051  0.051
Rb  0.177  0.323  0.677
Rb  0.323  0.677  0.177
Rb  0.449  0.949  0.551
Rb  0.551  0.449  0.949
Rb  0.677  0.177  0.323
Rb  0.823  0.823  0.823
Rb  0.949  0.551  0.449
Mg  0.113  0.887  0.387
Mg  0.162  0.662  0.838
Mg  0.338  0.338  0.338
Mg  0.387  0.113  0.887
Mg  0.613  0.613  0.613
Mg  0.662  0.838  0.162
Mg  0.838  0.162  0.662
Mg  0.887  0.387  0.113
Mo  0.027  0.201  0.379
Mo  0.121  0.973  0.701
Mo  0.201  0.379  0.027
Mo  0.299  0.621  0.527
Mo  0.379  0.027  0.201
Mo  0.473  0.799  0.879
Mo  0.527  0.299  0.621
Mo  0.621  0.527  0.299
Mo  0.701  0.121  0.973
Mo  0.799  0.879  0.473
Mo  0.879  0.473  0.799
Mo  0.973  0.701  0.121
O  0.019  0.045  0.327
O  0.022  0.548  0.777
O  0.045  0.327  0.019
O  0.048  0.723  0.978
O  0.053  0.793  0.230
O  0.103  0.819  0.749
O  0.173  0.981  0.545
O  0.181  0.249  0.397
O  0.207  0.730  0.447
O  0.223  0.522  0.952
O  0.230  0.053  0.793
O  0.249  0.397  0.181
O  0.251  0.603  0.681
O  0.270  0.947  0.293
O  0.277  0.478  0.452
O  0.293  0.270  0.947
O  0.319  0.751  0.897
O  0.327  0.019  0.045
O  0.397  0.181  0.249
O  0.447  0.207  0.730
O  0.452  0.277  0.478
O  0.455  0.673  0.519
O  0.478  0.452  0.277
O  0.481  0.955  0.827
O  0.519  0.455  0.673
O  0.522  0.952  0.223
O  0.545  0.173  0.981
O  0.548  0.777  0.022
O  0.553  0.707  0.770
O  0.603  0.681  0.251
O  0.673  0.519  0.455
O  0.681  0.251  0.603
O  0.707  0.770  0.553
O  0.723  0.978  0.048
O  0.730  0.447  0.207
O  0.749  0.103  0.819
O  0.751  0.897  0.319
O  0.770  0.553  0.707
O  0.777  0.022  0.548
O  0.793  0.230  0.053
O  0.819  0.749  0.103
O  0.827  0.481  0.955
O  0.897  0.319  0.751
O  0.947  0.293  0.270
O  0.952  0.223  0.522
O  0.955  0.827  0.481
O  0.978  0.048  0.723
O  0.981  0.545  0.173

## Properties
The value obtained for the density of states at the Fermi level is 0.00 states/eV per cell. The uncorrected formation energy is -2.447 eV per atom. Its total magnetic moment is 0.0 Bohr magnetons per cell.

=====

Entry from Alexandria via LeMat-Bulk: a crystal of K2HgAu2 relaxed with PBEsol (meta-GGA SCAN).

Lattice parameters (Å, degrees): 7.493 7.493 4.851 90.00 90.00 90.00
Sites, in units of the cell vectors:
K  0.172  0.328  0.000
K  0.328  0.828  0.000
K  0.672  0.172  0.000
K  0.828  0.672  0.000
Hg  0.000  0.000  0.500
Hg  0.500  0.500  0.500
Au  0.130  0.630  0.500
Au  0.370  0.130  0.500
Au  0.630  0.870  0.500
Au  0.870  0.370  0.500

## Properties
As for the energy of formation: -0.344 eV per atom. The value obtained for the density of states at the Fermi level is 2.36 states/eV per cell. Its total magnetic moment is 0.0 Bohr magnetons per cell.

=====

Entry from Alexandria via LeMat-Bulk: a crystal of SrCrNi relaxed with PBEsol (meta-GGA SCAN).

Lattice parameters (Å, degrees): 4.570 4.570 4.570 60.00 60.00 60.00
Sites, in units of the cell vectors:
Sr  0.000  0.000  0.000
Cr  0.500  0.500  0.500
Ni  0.250  0.250  0.250

## Properties
As for the energy of formation: 0.602 eV per atom. The value obtained for the density of states at the Fermi level is 2.80 states/eV per cell. Its total magnetic moment is 4.4 Bohr magnetons per cell.

=====

Entry from Alexandria via LeMat-Bulk: a crystal of Sm2Ga3Cu relaxed with PBEsol (meta-GGA SCAN).

Lattice parameters (Å, degrees): 3.666 4.340 7.536 90.00 90.00 90.00
Sites, in units of the cell vectors:
Sm  0.000  0.000  0.000
Sm  0.000  0.500  0.491
Ga  0.500  0.000  0.653
Ga  0.500  0.500  0.170
Ga  0.500  0.500  0.831
Cu  0.500  0.000  0.326

## Properties
As for the energy of formation: -0.691 eV per atom. The value obtained for the energy above the most stable polymorph in this dataset is 4 meV per atom. The value obtained for the density of states at the Fermi level is 3.59 states/eV per cell. Its total magnetic moment is 0.0 Bohr magnetons per cell.

=====

Entry from Alexandria via LeMat-Bulk: a crystal of BaTlPb relaxed with PBEsol (meta-GGA SCAN).

Lattice parameters (Å, degrees): 5.037 5.037 4.842 90.00 90.00 120.00
Sites, in units of the cell vectors:
Ba  0.000  0.000  0.000
Tl  0.667  0.333  0.392
Pb  0.333  0.667  0.582

## Properties
As for the energy of formation: -0.624 eV per atom. The value obtained for the density of states at the Fermi level is 1.13 states/eV per cell. Its total magnetic moment is 0.0 Bohr magnetons per cell.

=====

Entry from Alexandria via LeMat-Bulk: a crystal of RbMnCo3 relaxed with PBEsol (meta-GGA SCAN).

Lattice parameters (Å, degrees): 4.324 4.324 4.324 90.00 90.00 90.00
Sites, in units of the cell vectors:
Rb  0.000  0.000  0.000
Mn  0.500  0.500  0.500
Co  0.000  0.500  0.500
Co  0.500  0.000  0.500
Co  0.500  0.500  0.000

## Properties
As for the energy of formation: 1.490 eV per atom. The value obtained for the density of states at the Fermi level is 5.79 states/eV per cell. Its total magnetic moment is 3.5 Bohr magnetons per cell.

=====

Entry from Alexandria via LeMat-Bulk: a crystal of TaCIO2 relaxed with PBEsol (meta-GGA SCAN).

Lattice parameters (Å, degrees): 3.907 3.907 4.197 90.00 90.00 90.00
Sites, in units of the cell vectors:
Ta  0.000  0.000  0.000
C  0.500  0.500  0.500
I  0.500  0.500  0.000
O  0.000  0.500  0.500
O  0.500  0.000  0.500

## Properties
The value obtained for the density of states at the Fermi level is 1.87 states/eV per cell. The uncorrected formation energy is 1.452 eV per atom. Its total magnetic moment is 1.7 Bohr magnetons per cell.

=====

Entry from Alexandria via LeMat-Bulk: a crystal of CoPdSeBr2 relaxed with PBEsol (meta-GGA SCAN).

Lattice parameters (Å, degrees): 4.876 4.876 4.368 90.00 90.00 90.00
Sites, in units of the cell vectors:
Co  0.000  0.000  0.000
Pd  0.500  0.500  0.500
Se  0.000  0.000  0.500
Br  0.000  0.500  0.000
Br  0.500  0.000  0.000

## Properties
The value obtained for the density of states at the Fermi level is 5.90 states/eV per cell. The uncorrected formation energy is 0.407 eV per atom. Its total magnetic moment is 3.0 Bohr magnetons per cell.

=====

Entry from Alexandria via LeMat-Bulk: a crystal of RbTl3Ga relaxed with PBEsol (meta-GGA SCAN).

Lattice parameters (Å, degrees): 5.553 5.553 5.553 90.00 90.00 90.00
Sites, in units of the cell vectors:
Rb  0.000  0.000  0.000
Tl  0.000  0.500  0.500
Tl  0.500  0.000  0.500
Tl  0.500  0.500  0.000
Ga  0.500  0.500  0.500

## Properties
As for the energy of formation: 0.032 eV per atom. The value obtained for the density of states at the Fermi level is 2.46 states/eV per cell. Its total magnetic moment is 0.0 Bohr magnetons per cell.

=====

Entry from Alexandria via LeMat-Bulk: a crystal of La2BeAs relaxed with PBEsol (meta-GGA SCAN).

Lattice parameters (Å, degrees): 5.855 5.855 5.855 137.04 137.04 62.38
Sites, in units of the cell vectors:
La  0.000  0.000  0.000
La  0.750  0.250  0.500
Be  0.250  0.750  0.500
As  0.500  0.500  0.000

## Properties
As for the energy of formation: -0.435 eV per atom. The value obtained for the energy above the most stable polymorph in this dataset is 153 meV per atom. The value obtained for the density of states at the Fermi level is 2.61 states/eV per cell. Its total magnetic moment is 0.0 Bohr magnetons per cell.

=====

Entry from Alexandria via LeMat-Bulk: a crystal of Si2SbCl relaxed with PBEsol (meta-GGA SCAN).

Lattice parameters (Å, degrees): 5.998 5.998 4.739 112.74 112.74 31.09
Sites, in units of the cell vectors:
Si  0.000  0.000  0.000
Si  0.681  0.681  0.093
Sb  0.407  0.407  0.400
Cl  0.196  0.196  0.686

## Properties
The value obtained for the density of states at the Fermi level is 1.09 states/eV per cell. The uncorrected formation energy is 0.388 eV per atom. Its total magnetic moment is 0.0 Bohr magnetons per cell.